First-principles (GGA-PBE) data for a relaxed structure of Ca3Ho2Cd3, as listed in Alexandria via LeMat-Bulk.

a = 3.762 Å, b = 5.490 Å, c = 22.666 Å
α = 90.00°, β = 90.00°, γ = 90.00°
Space group Immm (No. 71)
Symmetry-distinct sites (fractional):
Ca1 0.000 0.000 0.000 [2 per cell]
Ca2 0.000 0.500 0.122 [4 per cell]
Ho1 0.000 0.000 0.233 [4 per cell]
Cd1 0.000 0.000 0.500 [2 per cell]
Cd2 0.000 0.500 0.379 [4 per cell]

First-principles (GGA-PBE) data for a relaxed structure of CePm2P3, as listed in Alexandria via LeMat-Bulk.

a = 4.117 Å, b = 5.818 Å, c = 12.341 Å
α = 90.00°, β = 90.00°, γ = 90.00°
Space group Immm (No. 71)
Symmetry-distinct sites (fractional):
Ce1 0.000 0.000 0.000 [2 per cell]
Pm1 0.000 0.000 0.333 [4 per cell]
P1 0.000 0.500 0.000 [2 per cell]
P2 0.000 0.500 0.337 [4 per cell]

| no. | energy of formation from the pure elements (eV per atom) |
| --- | --- |
| 1 | -0.2390 |
| 2 | -1.5515 |